Compound: YRhN2O
Source: the Alexandria database
Functional: PBE-GGA
Structure: optimized geometry

Values from the calculation:
For the raw formation energy, the calculation gives -34 kJ per mole of atoms. The calculation puts the volume at 12.21 A^3/atom. As for the space-group type: P4/mmm, No. 123.

a = 3.855 Å, b = 3.855 Å, c = 4.107 Å
α = 90.00°, β = 90.00°, γ = 90.00°
Fractional positions:
O  0.000  0.000  0.500
Rh  0.000  0.000  0.000
N  0.000  0.500  0.000
N  0.500  0.000  0.000
Y  0.500  0.500  0.500